Record 1
Computed, not measured: GaSiNi after structural relaxation at the GGA-PBE level of DFT.

Cell: 2.810 3.893 7.883 Å, 90.00 90.01 90.00°
Positions (direct):
Ga: 0.999 0.250 0.111
Ga: 0.001 0.750 0.889
Si: 0.000 0.250 0.636
Si: 0.000 0.750 0.364
Ni: 0.500 0.250 0.382
Ni: 0.500 0.750 0.618

Computed properties:
Uncorrected formation energy ... -212 meV per atom
Calculated total energy ... -4.96 eV per atom
Size of the total moment ... 0.0 μB/f.u.
SG ... Pmma, No. 51


Record 2
Computed, not measured: LuTaOs2 after structural relaxation at the GGA-PBE level of DFT.

Cell: 3.225 3.225 6.670 Å, 90.00 90.00 90.00°
Positions (direct):
Lu: 0.500 0.500 0.500
Os: 0.000 0.000 0.771
Os: 0.000 0.000 0.229
Ta: 0.500 0.500 0.000

Computed properties:
Calculated total energy ... -10.12 eV per atom
Size of the total moment ... 0.0 μB/f.u.
SG ... P4/mmm, No. 123
ΔH_f (0 K) ... -407 meV per atom
E above lowest polymorph ... 0.0 kJ/mol of atoms


Record 3
Computed, not measured: KCuNi after structural relaxation at the GGA-PBE level of DFT.

Cell: 6.119 6.119 6.119 Å, 154.17 142.61 46.01°
Positions (direct):
Cu: 0.936 0.936 0.000
K: 0.666 0.666 0.000
Ni: 0.397 0.397 0.000

Computed properties:
Calculated total energy ... -3.22 eV per atom
Size of the total moment ... 0.0 μB/f.u.
SG ... Imm2, No. 44
ΔH_f (0 K) ... 434 meV per atom
E above lowest polymorph ... 0.0 kJ/mol of atoms


Record 4
Computed, not measured: Na3Mg2Tl4 after structural relaxation at the GGA-PBE level of DFT.

Cell: 5.105 5.368 10.009 Å, 86.19 90.03 61.58°
Positions (direct):
Na: 0.337 0.327 0.441
Na: 0.000 0.000 0.000
Na: 0.663 0.673 0.559
Mg: 0.331 0.338 0.789
Mg: 0.669 0.662 0.211
Tl: 0.664 0.671 0.884
Tl: 0.008 0.985 0.329
Tl: 0.992 0.015 0.671
Tl: 0.336 0.329 0.116

Computed properties:
Calculated total energy ... -1.93 eV per atom
Size of the total moment ... 0.0 μB/f.u.
SG ... C2/m, No. 12
ΔH_f (0 K) ... -81 meV per atom
E above lowest polymorph ... 0.0 kJ/mol of atoms


Record 5
Computed, not measured: Zr2MnGeSb after structural relaxation at the GGA-PBE level of DFT.

Cell: 5.409 4.755 5.409 Å, 90.00 90.00 90.00°
Site moments in Bohr magnetons follow the coordinates.
Positions (direct):
Sb: 0.000 0.000 0.000  -0.01
Ge: 0.500 0.500 0.500  0.03
Mn: 0.000 0.500 0.000  3.63
Zr: 0.000 0.000 0.500  -0.10
Zr: 0.500 0.000 0.000  -0.01

Computed properties:
Uncorrected formation energy ... 791 meV per atom
Calculated total energy ... -6.21 eV per atom
Size of the total moment ... 3.7 μB/f.u.
SG ... P4/mmm, No. 123


Record 6
Computed, not measured: CuRu2Rh after structural relaxation at the GGA-PBE level of DFT.

Cell: 4.289 4.289 4.289 Å, 60.00 60.00 60.00°
Site moments in Bohr magnetons follow the coordinates.
Positions (direct):
Cu: 0.750 0.750 0.750  0.03
Ru: 0.000 0.000 0.000  0.19
Ru: 0.250 0.250 0.250  1.17
Rh: 0.500 0.500 0.500  0.39

Computed properties:
Calculated total energy ... -7.14 eV per atom
Size of the total moment ... 1.8 μB/f.u.
SG ... F-43m, No. 216
ΔH_f (0 K) ... 362 meV per atom
E above lowest polymorph ... 23.5 kJ/mol of atoms


Record 7
Computed, not measured: LiLaHg2Au after structural relaxation at the GGA-PBE level of DFT.

Cell: 4.869 4.869 4.931 Å, 90.00 90.00 90.00°
Positions (direct):
Li: 0.000 0.000 0.000
Au: 0.000 0.000 0.500
Hg: 0.000 0.500 0.000
Hg: 0.500 0.000 0.000
La: 0.500 0.500 0.500

Computed properties:
Calculated total energy ... -2.50 eV per atom
Size of the total moment ... 0.0 μB/f.u.
SG ... P4/mmm, No. 123
ΔH_f (0 K) ... -359 meV per atom


Record 8
Computed, not measured: Ca5CeP4 after structural relaxation at the GGA-PBE level of DFT.

Cell: 4.202 8.221 9.148 Å, 102.39 103.28 90.00°
Site moments in Bohr magnetons follow the coordinates.
Positions (direct):
Ca: 0.839 0.687 0.679  0.01
Ca: 0.831 0.139 0.662  0.00
Ca: 0.169 0.861 0.338  0.00
Ca: 0.500 0.500 0.000  0.00
Ca: 0.161 0.313 0.321  0.01
Ce: 0.500 0.000 0.000  0.41
P: 0.334 0.908 0.668  -0.01
P: 0.003 0.751 0.007  -0.01
P: 0.666 0.092 0.332  -0.01
P: 0.997 0.249 0.993  -0.01

Computed properties:
Calculated total energy ... -4.81 eV per atom
Size of the total moment ... 0.6 μB/f.u.
SG ... C2/m, No. 12
ΔH_f (0 K) ... -1051 meV per atom


Record 9
Computed, not measured: Li2ReOs after structural relaxation at the GGA-PBE level of DFT.

Cell: 5.167 5.167 2.498 Å, 90.00 90.00 121.12°
Positions (direct):
Li: 0.000 0.000 0.000
Li: 0.500 0.500 0.000
Os: 0.500 0.000 0.500
Re: 0.000 0.500 0.500

Computed properties:
Calculated total energy ... -6.49 eV per atom
Size of the total moment ... 0.0 μB/f.u.
SG ... Cmmm, No. 65
ΔH_f (0 K) ... 385 meV per atom
E above lowest polymorph ... 26.2 kJ/mol of atoms


Record 10
Computed, not measured: Zn2WCl after structural relaxation at the GGA-PBE level of DFT.

Cell: 2.894 2.894 8.395 Å, 90.00 90.00 90.00°
Positions (direct):
Cl: 0.000 0.000 0.563
W: 0.500 0.500 0.759
Zn: 0.000 0.000 0.978
Zn: 0.500 0.500 0.200

Computed properties:
Uncorrected formation energy ... 364 meV per atom
Calculated total energy ... -3.97 eV per atom
Size of the total moment ... 0.0 μB/f.u.
SG ... P4mm, No. 99
E above lowest polymorph ... 20.2 kJ/mol of atoms


Record 11
Computed, not measured: PrNd2Sm5Dy after structural relaxation at the GGA-PBE level of DFT.

Cell: 8.856 8.856 10.091 Å, 116.03 116.03 90.00°
Positions (direct):
Pr: 0.250 0.250 0.500
Pr: 0.750 0.750 0.500
Nd: 0.117 0.383 0.000
Nd: 0.617 0.117 0.000
Nd: 0.383 0.883 0.000
Nd: 0.883 0.617 0.000
Sm: 0.929 0.429 0.276
Sm: 0.653 0.153 0.724
Sm: 0.071 0.571 0.724
Sm: 0.153 0.071 0.724
Sm: 0.571 0.653 0.724
Sm: 0.847 0.929 0.276
Sm: 0.429 0.347 0.276
Sm: 0.347 0.847 0.276
Sm: 0.500 0.500 0.000
Sm: 0.000 0.000 0.000
Dy: 0.250 0.750 0.500
Dy: 0.750 0.250 0.500

Computed properties:
Calculated total energy ... -4.46 eV per atom
Size of the total moment ... 0.0 μB/f.u.
SG ... I4/mcm, No. 140
ΔH_f (0 K) ... 265 meV per atom


Record 12
Computed, not measured: HgC2Se after structural relaxation at the GGA-PBE level of DFT.

Cell: 5.095 5.095 5.825 Å, 64.06 64.06 90.00°
Positions (direct):
C: 0.568 0.125 0.250
C: 0.182 0.625 0.250
C: 0.375 0.432 0.750
C: 0.875 0.818 0.750
Hg: 0.000 0.000 0.000
Hg: 0.750 0.250 0.500
Se: 0.500 0.500 0.000
Se: 0.250 0.750 0.500

Computed properties:
Uncorrected formation energy ... 1716 meV per atom
Calculated total energy ... -3.84 eV per atom
Size of the total moment ... 0.0 μB/f.u.
SG ... I-42d, No. 122
E above lowest polymorph ... 0.0 kJ/mol of atoms


Record 13
Computed, not measured: NaBeV2 after structural relaxation at the GGA-PBE level of DFT.

Cell: 3.809 3.809 9.740 Å, 78.73 78.73 90.00°
Positions (direct):
Na: 0.000 0.000 0.000
Na: 0.750 0.250 0.500
V: 0.259 0.125 0.250
V: 0.491 0.625 0.250
V: 0.375 0.741 0.750
V: 0.875 0.509 0.750
Be: 0.500 0.500 0.000
Be: 0.250 0.750 0.500

Computed properties:
Calculated total energy ... -4.66 eV per atom
Size of the total moment ... 0.0 μB/f.u.
SG ... I-42d, No. 122
ΔH_f (0 K) ... 1161 meV per atom


Record 14
Computed, not measured: Ho6TlRu after structural relaxation at the GGA-PBE level of DFT.

Cell: 9.326 9.326 9.326 Å, 148.65 148.65 44.93°
Positions (direct):
Ho: 0.251 0.251 0.000
Ho: 0.897 0.397 0.500
Ho: 0.397 0.897 0.500
Ho: 0.103 0.603 0.500
Ho: 0.749 0.749 0.000
Ho: 0.603 0.103 0.500
Tl: 0.500 0.500 0.000
Ru: 0.000 0.000 0.000

Computed properties:
Calculated total energy ... -4.98 eV per atom
Size of the total moment ... 0.0 μB/f.u.
SG ... I4/mmm, No. 139
ΔH_f (0 K) ... -95 meV per atom
E above lowest polymorph ... 0.0 kJ/mol of atoms


Record 15
Computed, not measured: LaPmZnAu after structural relaxation at the GGA-PBE level of DFT.

Cell: 5.280 5.280 5.280 Å, 60.00 60.00 60.00°
Positions (direct):
Zn: 0.000 0.000 0.000
La: 0.750 0.750 0.750
Au: 0.500 0.500 0.500
Pm: 0.250 0.250 0.250

Computed properties:
Calculated total energy ... -4.08 eV per atom
Size of the total moment ... 0.0 μB/f.u.
SG ... F-43m, No. 216
ΔH_f (0 K) ... -525 meV per atom
E above lowest polymorph ... 2.2 kJ/mol of atoms


Record 16
Computed, not measured: ZnSb2Ir after structural relaxation at the GGA-PBE level of DFT.

Cell: 9.318 9.318 9.318 Å, 20.24 20.24 20.24°
Positions (direct):
Ir: 0.754 0.754 0.754
Sb: 0.017 0.017 0.017
Sb: 0.240 0.240 0.240
Zn: 0.489 0.489 0.489

Computed properties:
Uncorrected formation energy ... 181 meV per atom
Calculated total energy ... -4.41 eV per atom
Size of the total moment ... 0.0 μB/f.u.
SG ... R3m, No. 160
E above lowest polymorph ... 23.6 kJ/mol of atoms


Record 17
Computed, not measured: CaLa3Ir after structural relaxation at the GGA-PBE level of DFT.

Cell: 7.467 6.574 7.588 Å, 101.99 73.61 100.66°
Positions (direct):
Ca: 0.170 0.562 0.997
Ca: 0.654 0.601 0.080
Ir: 0.998 0.801 0.823
Ir: 0.605 0.901 0.465
La: 0.953 0.053 0.208
La: 0.436 0.124 0.302
La: 0.891 0.128 0.713
La: 0.219 0.617 0.487
La: 0.374 0.059 0.812
La: 0.712 0.563 0.573

Computed properties:
Calculated total energy ... -5.46 eV per atom
Size of the total moment ... 0.0 μB/f.u.
SG ... P1, No. 1
ΔH_f (0 K) ... -330 meV per atom
E above lowest polymorph ... 1.9 kJ/mol of atoms


Record 18
Computed, not measured: ScTi3Mn after structural relaxation at the GGA-PBE level of DFT.

Cell: 4.509 4.509 4.509 Å, 90.00 90.00 90.00°
Positions (direct):
Sc: 0.000 0.000 0.000
Mn: 0.500 0.500 0.500
Ti: 0.000 0.500 0.000
Ti: 0.000 0.000 0.500
Ti: 0.500 0.000 0.000

Computed properties:
Calculated total energy ... -6.22 eV per atom
Size of the total moment ... 0.0 μB/f.u.
SG ... Pm-3m, No. 221
ΔH_f (0 K) ... 1614 meV per atom
E above lowest polymorph ... 134.0 kJ/mol of atoms


Record 19
Computed, not measured: NaLaIn after structural relaxation at the GGA-PBE level of DFT.

Cell: 3.434 5.460 5.460 Å, 120.00 90.00 90.00°
Positions (direct):
Na: 0.169 0.667 0.333
In: 0.165 0.000 0.000
La: 0.666 0.333 0.667

Computed properties:
Calculated total energy ... -3.19 eV per atom
Size of the total moment ... 0.1 μB/f.u.
SG ... P3m1, No. 156
ΔH_f (0 K) ... -194 meV per atom


Record 20
Computed, not measured: LaTa4In after structural relaxation at the GGA-PBE level of DFT.

Cell: 5.716 5.716 5.716 Å, 60.00 60.00 60.00°
Positions (direct):
La: 0.000 0.000 0.000
Ta: 0.880 0.373 0.373
Ta: 0.373 0.373 0.880
Ta: 0.373 0.880 0.373
Ta: 0.373 0.373 0.373
In: 0.750 0.750 0.750

Computed properties:
Calculated total energy ... -8.84 eV per atom
Size of the total moment ... 0.0 μB/f.u.
SG ... F-43m, No. 216
ΔH_f (0 K) ... 339 meV per atom


Record 21
Computed, not measured: TbGeRu after structural relaxation at the GGA-PBE level of DFT.

Cell: 4.451 7.079 7.242 Å, 90.00 90.00 90.00°
Positions (direct):
Tb: 0.250 0.484 0.691
Tb: 0.750 0.516 0.309
Tb: 0.250 0.984 0.809
Tb: 0.750 0.016 0.191
Ge: 0.250 0.299 0.106
Ge: 0.750 0.701 0.894
Ge: 0.250 0.799 0.394
Ge: 0.750 0.201 0.606
Ru: 0.750 0.845 0.564
Ru: 0.250 0.155 0.436
Ru: 0.750 0.345 0.936
Ru: 0.250 0.655 0.064

Computed properties:
Calculated total energy ... -6.89 eV per atom
Size of the total moment ... 0.0 μB/f.u.
SG ... Pnma, No. 62
ΔH_f (0 K) ... -716 meV per atom


Record 22
Computed, not measured: Pr3Lu after structural relaxation at the GGA-PBE level of DFT.

Cell: 3.693 5.914 6.342 Å, 90.00 90.00 90.00°
Positions (direct):
Pr: 0.000 0.500 0.333
Pr: 0.500 0.000 0.498
Pr: 0.500 0.500 0.834
Lu: 0.000 0.000 0.001

Computed properties:
Calculated total energy ... -4.68 eV per atom
Size of the total moment ... 0.0 μB/f.u.
SG ... Pmm2, No. 25
ΔH_f (0 K) ... 39 meV per atom
E above lowest polymorph ... 2.5 kJ/mol of atoms


Record 23
Computed, not measured: Mg2ZnPd2 after structural relaxation at the GGA-PBE level of DFT.

Cell: 5.046 5.396 7.312 Å, 111.65 110.18 90.00°
Positions (direct):
Mg: 0.877 0.731 0.754
Mg: 0.123 0.269 0.246
Mg: 0.623 0.977 0.246
Mg: 0.377 0.023 0.754
Zn: 0.750 0.500 0.000
Zn: 0.250 0.500 0.000
Pd: 0.331 0.491 0.662
Pd: 0.669 0.509 0.338
Pd: 0.169 0.829 0.338
Pd: 0.831 0.171 0.662

Computed properties:
Calculated total energy ... -3.39 eV per atom
Size of the total moment ... 0.0 μB/f.u.
SG ... Ibam, No. 72
ΔH_f (0 K) ... -423 meV per atom


Record 24
Computed, not measured: K2Bi3Pb5 after structural relaxation at the GGA-PBE level of DFT.

Cell: 7.578 10.883 10.883 Å, 79.45 69.63 69.63°
Positions (direct):
K: 0.123 0.632 0.122
K: 0.623 0.122 0.632
K: 0.877 0.368 0.878
K: 0.377 0.878 0.368
Bi: 0.377 0.482 0.764
Bi: 0.877 0.764 0.482
Bi: 0.623 0.518 0.236
Bi: 0.123 0.236 0.518
Bi: 0.250 0.000 0.000
Bi: 0.750 0.000 0.000
Pb: 0.373 0.257 0.997
Pb: 0.873 0.997 0.257
Pb: 0.627 0.743 0.003
Pb: 0.127 0.003 0.743
Pb: 0.506 0.744 0.744
Pb: 0.494 0.256 0.256
Pb: 0.750 0.500 0.500
Pb: 0.250 0.500 0.500
Pb: 0.994 0.256 0.256
Pb: 0.006 0.744 0.744

Computed properties:
Calculated total energy ... -3.36 eV per atom
Size of the total moment ... 0.0 μB/f.u.
SG ... Ibam, No. 72
ΔH_f (0 K) ... -125 meV per atom


Record 25
Computed, not measured: Sc2CdAg4 after structural relaxation at the GGA-PBE level of DFT.

Cell: 4.825 4.825 7.316 Å, 70.74 70.74 60.00°
Positions (direct):
Sc: 0.721 0.721 0.836
Sc: 0.279 0.279 0.164
Cd: 0.000 0.000 0.000
Ag: 0.861 0.861 0.417
Ag: 0.139 0.139 0.583
Ag: 0.572 0.572 0.284
Ag: 0.428 0.428 0.716

Computed properties:
Calculated total energy ... -3.74 eV per atom
Size of the total moment ... 0.0 μB/f.u.
SG ... R-3m, No. 166
ΔH_f (0 K) ... -174 meV per atom